Entry from Alexandria via LeMat-Bulk: a relaxed HfTlRu2Cl crystal (PBEsol).

## Properties
Energy relative to the elements, uncorrected: 1.91 eV/atom
Fermi-level density of states: 9.03 states/eV/f.u.
Size of the total moment: 1.65 μB per formula unit
Crystal system: tetragonal

Unit cell a=4.9199 b=4.9199 c=4.9028 alpha=90.00 beta=90.00 gamma=90.00
Space group P4/mmm (No. 123)
Asymmetric unit:
Hf 0.0000 0.0000 0.0000 (multiplicity 1)
Tl 0.5000 0.5000 0.5000 (multiplicity 1)
Ru 0.0000 0.5000 0.5000 (multiplicity 2)
Cl 0.5000 0.5000 0.0000 (multiplicity 1)

Entry from Alexandria via LeMat-Bulk: a relaxed TiI2NO crystal (PBEsol).

## Properties
Energy relative to the elements, uncorrected: 0.84 eV/atom
Fermi-level density of states: 5.40 states/eV/f.u.
Size of the total moment: 1.67 μB per formula unit
Crystal system: tetragonal

Unit cell a=4.7915 b=4.7915 c=3.6785 alpha=90.00 beta=90.00 gamma=90.00
Space group P4/mmm (No. 123)
Asymmetric unit:
Ti 0.0000 0.0000 0.0000 (multiplicity 1)
I 0.0000 0.5000 0.5000 (multiplicity 2)
N 0.5000 0.5000 0.5000 (multiplicity 1)
O 0.5000 0.5000 0.0000 (multiplicity 1)

Entry from Alexandria via LeMat-Bulk: a relaxed Na3AsSe crystal (PBEsol).

## Properties
Energy relative to the elements, uncorrected: -0.05 eV/atom
Fermi-level density of states: 3.34 states/eV/f.u.
Size of the total moment: 2.03 μB per formula unit
Crystal system: cubic

Unit cell a=5.3944 b=5.3944 c=5.3944 alpha=90.00 beta=90.00 gamma=90.00
Space group Pm-3m (No. 221)
Asymmetric unit:
Na 0.0000 0.0000 0.5000 (multiplicity 3)
As 0.0000 0.0000 0.0000 (multiplicity 1)
Se 0.5000 0.5000 0.5000 (multiplicity 1)

Entry from Alexandria via LeMat-Bulk: a relaxed CoSi3Pb crystal (PBEsol).

## Properties
Energy relative to the elements, uncorrected: 2.13 eV/atom
Fermi-level density of states: 3.90 states/eV/f.u.
Size of the total moment: 1.99 μB per formula unit
Crystal system: cubic

Unit cell a=5.1756 b=5.1756 c=5.1756 alpha=90.00 beta=90.00 gamma=90.00
Space group Pm-3m (No. 221)
Asymmetric unit:
Co 0.0000 0.0000 0.0000 (multiplicity 1)
Si 0.0000 0.5000 0.5000 (multiplicity 3)
Pb 0.5000 0.5000 0.5000 (multiplicity 1)

Entry from Alexandria via LeMat-Bulk: a relaxed RuClF3 crystal (PBEsol).

## Properties
Energy relative to the elements, uncorrected: -0.80 eV/atom
Fermi-level density of states: 6.59 states/eV/f.u.
Size of the total moment: 3.07 μB per formula unit
Crystal system: cubic

Unit cell a=4.0356 b=4.0356 c=4.0356 alpha=90.00 beta=90.00 gamma=90.00
Space group Pm-3m (No. 221)
Asymmetric unit:
Ru 0.0000 0.0000 0.0000 (multiplicity 1)
Cl 0.5000 0.5000 0.5000 (multiplicity 1)
F 0.0000 0.0000 0.5000 (multiplicity 3)

Entry from Alexandria via LeMat-Bulk: a relaxed SrPt2Pb crystal (PBEsol).

## Properties
Fermi-level density of states: 4.33 states/eV/f.u.
Size of the total moment: 0.00 μB per formula unit
Crystal system: trigonal
Energy of formation: -0.439 eV/atom

Unit cell a=4.4988 b=4.4988 c=16.8852 alpha=90.00 beta=90.00 gamma=120.00
Space group R3m (No. 160, hexagonal axes)
Asymmetric unit:
Sr 0.0000 0.0000 0.0000 (multiplicity 3)
Pt 0.0000 0.0000 0.2153 (multiplicity 3)
Pt 0.0000 0.0000 0.5490 (multiplicity 3)
Pb 0.0000 0.0000 0.8011 (multiplicity 3)

Entry from Alexandria via LeMat-Bulk: a relaxed ZrSbH3 crystal (PBEsol).

## Properties
Fermi-level density of states: 1.37 states/eV/f.u.
Distance to the lowest polymorph of the same formula: 0 meV per atom
Size of the total moment: 0.00 μB per formula unit
Crystal system: cubic

Unit cell a=3.8248 b=3.8248 c=3.8248 alpha=90.00 beta=90.00 gamma=90.00
Space group Pm-3m (No. 221)
Asymmetric unit:
Zr 0.0000 0.0000 0.0000 (multiplicity 1)
Sb 0.5000 0.5000 0.5000 (multiplicity 1)
H 0.0000 0.0000 0.5000 (multiplicity 3)

Entry from Alexandria via LeMat-Bulk: a relaxed Rb3BaSb crystal (PBEsol).

## Properties
Energy relative to the elements, uncorrected: 0.79 eV/atom
Fermi-level density of states: 4.86 states/eV/f.u.
Distance to the lowest polymorph of the same formula: 747 meV per atom
Size of the total moment: 1.90 μB per formula unit
Crystal system: cubic

Unit cell a=6.5775 b=6.5775 c=6.5775 alpha=90.00 beta=90.00 gamma=90.00
Space group Pm-3m (No. 221)
Asymmetric unit:
Rb 0.0000 0.0000 0.5000 (multiplicity 3)
Ba 0.0000 0.0000 0.0000 (multiplicity 1)
Sb 0.5000 0.5000 0.5000 (multiplicity 1)

Entry from Alexandria via LeMat-Bulk: a relaxed ErH3 crystal (PBEsol).

## Properties
Fermi-level density of states: 0.07 states/eV/f.u.
Distance to the lowest polymorph of the same formula: 0 meV per atom
Size of the total moment: 0.00 μB per formula unit
Crystal system: trigonal

Unit cell a=6.1325 b=6.1325 c=6.3596 alpha=90.00 beta=90.00 gamma=120.00
Space group P-3c1 (No. 165)
Asymmetric unit:
Er 0.0000 0.3364 0.2500 (multiplicity 6)
H 0.0000 0.0000 0.2500 (multiplicity 2)
H 0.0254 0.3479 0.5936 (multiplicity 12)
H 0.3333 0.6667 0.3213 (multiplicity 4)

Entry from Alexandria via LeMat-Bulk: a relaxed MnZnHg2 crystal (PBEsol).

## Properties
Fermi-level density of states: 2.16 states/eV/f.u.
Distance to the lowest polymorph of the same formula: 46 meV per atom
Size of the total moment: 3.79 μB per formula unit
Crystal system: monoclinic
Energy of formation: 0.274 eV/atom

Unit cell a=8.9358 b=3.1650 c=5.1779 alpha=90.00 beta=101.75 gamma=90.00
Space group C2/m (No. 12)
Asymmetric unit:
Mn 0.0000 0.0000 0.0000 (multiplicity 2)
Zn 0.0000 0.5000 0.5000 (multiplicity 2)
Hg 0.2491 0.5000 0.2479 (multiplicity 4)

Entry from Alexandria via LeMat-Bulk: a relaxed La2MgZr crystal (PBEsol).

## Properties
Fermi-level density of states: 8.26 states/eV/f.u.
Size of the total moment: 0.08 μB per formula unit
Crystal system: cubic
Energy of formation: 0.215 eV/atom

Unit cell a=7.6007 b=7.6007 c=7.6007 alpha=90.00 beta=90.00 gamma=90.00
Space group F-43m (No. 216)
Asymmetric unit:
La 0.0000 0.0000 0.0000 (multiplicity 4)
La 0.2500 0.2500 0.2500 (multiplicity 4)
Mg 0.0000 0.0000 0.5000 (multiplicity 4)
Zr 0.2500 0.2500 0.7500 (multiplicity 4)

Entry from Alexandria via LeMat-Bulk: a relaxed Mg3Hg crystal (PBEsol).

## Properties
Fermi-level density of states: 1.25 states/eV/f.u.
Size of the total moment: 0.00 μB per formula unit
Crystal system: orthorhombic
Energy of formation: -0.153 eV/atom

Unit cell a=3.2941 b=4.9119 c=5.2007 alpha=90.00 beta=90.00 gamma=90.00
Space group Pmm2 (No. 25)
Asymmetric unit:
Mg 0.0000 0.0000 0.0000 (multiplicity 1)
Mg 0.0000 0.5000 0.3588 (multiplicity 1)
Mg 0.5000 0.5000 0.8517 (multiplicity 1)
Hg 0.5000 0.0000 0.5035 (multiplicity 1)

Entry from Alexandria via LeMat-Bulk: a relaxed Li2Pr2Si3 crystal (PBEsol).

## Properties
Energy relative to the elements, uncorrected: -0.64 eV/atom
Fermi-level density of states: 1.11 states/eV/f.u.
Size of the total moment: 0.00 μB per formula unit
Crystal system: orthorhombic

Unit cell a=4.3922 b=18.4416 c=6.7759 alpha=90.00 beta=90.00 gamma=90.00
Space group Cmcm (No. 63)
Asymmetric unit:
Li 0.0000 0.1881 0.0611 (multiplicity 8)
Pr 0.0000 0.3415 0.2500 (multiplicity 4)
Pr 0.0000 0.4484 0.7500 (multiplicity 4)
Si 0.0000 0.0579 0.5748 (multiplicity 8)
Si 0.0000 0.2803 0.7500 (multiplicity 4)

Entry from Alexandria via LeMat-Bulk: a relaxed RbZr2Br crystal (PBEsol).

## Properties
Energy relative to the elements, uncorrected: 1.09 eV/atom
Fermi-level density of states: 6.20 states/eV/f.u.
Size of the total moment: 0.00 μB per formula unit
Crystal system: cubic

Unit cell a=7.2908 b=7.2908 c=7.2908 alpha=90.00 beta=90.00 gamma=90.00
Space group Fm-3m (No. 225)
Asymmetric unit:
Rb 0.0000 0.0000 0.0000 (multiplicity 4)
Zr 0.2500 0.2500 0.2500 (multiplicity 8)
Br 0.0000 0.0000 0.5000 (multiplicity 4)